Record 1
A plane-wave DFT calculation with PBE was carried out for a relaxed structure of TlInMo2.

Lattice parameters (Å, degrees): 5.0585 5.0585 5.3721 80.24 80.24 34.24
Atoms (fractional coordinates):
In (0.2500, 0.2500, 0.2500)
Mo (0.9984, 0.9984, 0.0104)
Mo (0.5016, 0.5016, 0.4896)
Tl (0.7500, 0.7500, 0.7500)

As for the density of states at the Fermi level: 1.0405 states/eV per atom. The distance to the lowest polymorph of the same formula comes out at 345.9 meV per atom. The calculation puts the volume at 19.029 A^3/atom.



Record 2
A plane-wave DFT calculation with PBE was carried out for a relaxed structure of TbEr2Ga.

Lattice parameters (Å, degrees): 4.6992 4.7010 4.7010 90.00 90.00 90.00
Atoms (fractional coordinates):
Tb (0.5000, 0.5000, 0.5000)
Ga (0.5000, 0.0000, 0.0000)
Er (0.0000, 0.0000, 0.5000)
Er (0.0000, 0.5000, 0.0000)

As for the density of states at the Fermi level: 1.4038 states/eV per atom. The distance to the lowest polymorph of the same formula comes out at 45.2 meV per atom. The calculation puts the volume at 25.962 A^3/atom.



Record 3
A plane-wave DFT calculation with PBE was carried out for a relaxed structure of SnGeHAu2.

Lattice parameters (Å, degrees): 5.1583 5.1583 3.4528 90.00 90.00 90.00
Atoms (fractional coordinates):
H (0.0000, 0.0000, 0.5000)
Ge (0.0000, 0.0000, 0.0000)
Au (0.0000, 0.5000, 0.0000)
Au (0.5000, 0.0000, 0.0000)
Sn (0.5000, 0.5000, 0.5000)

As for the density of states at the Fermi level: 0.3389 states/eV per atom. The calculation puts the volume at 18.375 A^3/atom. The total energy is -3.589 eV/atom.



Record 4
A plane-wave DFT calculation with PBE was carried out for a relaxed structure of Al2ZnRh2.

Lattice parameters (Å, degrees): 7.0519 7.0519 2.9633 90.00 90.00 90.00
Atoms (fractional coordinates):
Zn (0.0000, 0.0000, 0.0000)
Zn (0.5000, 0.5000, 0.0000)
Rh (0.3463, 0.8463, 0.0000)
Rh (0.8463, 0.6537, 0.0000)
Rh (0.6537, 0.1537, 0.0000)
Rh (0.1537, 0.3463, 0.0000)
Al (0.1438, 0.6438, 0.5000)
Al (0.6438, 0.8562, 0.5000)
Al (0.8562, 0.3562, 0.5000)
Al (0.3562, 0.1438, 0.5000)

As for the density of states at the Fermi level: 0.3815 states/eV per atom. The distance to the lowest polymorph of the same formula comes out at 0.0 meV per atom. The calculation puts the volume at 14.737 A^3/atom.



Record 5
A plane-wave DFT calculation with PBE was carried out for a relaxed structure of Zr2Cu2Pd.

Lattice parameters (Å, degrees): 6.9576 6.9576 3.5365 90.00 90.00 90.00
Atoms (fractional coordinates):
Cu (0.3755, 0.8755, 0.0000)
Cu (0.8755, 0.6245, 0.0000)
Cu (0.6245, 0.1245, 0.0000)
Cu (0.1245, 0.3755, 0.0000)
Zr (0.1749, 0.6749, 0.5000)
Zr (0.6749, 0.8251, 0.5000)
Zr (0.8251, 0.3251, 0.5000)
Zr (0.3251, 0.1749, 0.5000)
Pd (0.0000, 0.0000, 0.0000)
Pd (0.5000, 0.5000, 0.0000)

As for the density of states at the Fermi level: 0.8140 states/eV per atom. The distance to the lowest polymorph of the same formula comes out at 0.0 meV per atom. The calculation puts the volume at 17.119 A^3/atom.



Record 6
A plane-wave DFT calculation with PBE was carried out for a relaxed structure of Zn2AgCl.

Lattice parameters (Å, degrees): 8.0897 8.0897 8.0897 23.80 23.80 23.80
Atoms (fractional coordinates):
Ag (0.4931, 0.4931, 0.4931)
Cl (0.2619, 0.2619, 0.2619)
Zn (0.0005, 0.0005, 0.0005)
Zn (0.7445, 0.7445, 0.7445)

As for the density of states at the Fermi level: 0.2162 states/eV per atom. The distance to the lowest polymorph of the same formula comes out at 31.0 meV per atom. The calculation puts the volume at 18.930 A^3/atom. The uncorrected formation energy comes out at -0.14 eV/atom.



Record 7
A plane-wave DFT calculation with PBE was carried out for a relaxed structure of Hf2ZrTiCr.

Lattice parameters (Å, degrees): 5.0199 4.1743 5.0199 90.00 90.00 90.00
Atoms (fractional coordinates):
Cr (0.0000, 0.5000, 0.0000)
Hf (0.0000, 0.0000, 0.5000)
Hf (0.5000, 0.0000, 0.0000)
Zr (0.5000, 0.5000, 0.5000)
Ti (0.0000, 0.0000, 0.0000)

As for the density of states at the Fermi level: 1.4685 states/eV per atom. The calculation puts the volume at 21.038 A^3/atom. The total energy is -8.310 eV/atom.



Record 8
A plane-wave DFT calculation with PBE was carried out for a relaxed structure of ErZr4.

Lattice parameters (Å, degrees): 4.9996 6.4578 8.6095 112.03 106.88 90.00
Atoms (fractional coordinates):
Er (0.8920, 0.1420, 0.7840)
Er (0.1080, 0.8580, 0.2160)
Zr (0.1071, 0.3571, 0.2141)
Zr (0.8929, 0.6429, 0.7859)
Zr (0.5000, 0.0000, 0.0000)
Zr (0.5000, 0.5000, 0.0000)
Zr (0.7000, 0.2102, 0.4000)
Zr (0.3000, 0.7898, 0.6000)
Zr (0.3000, 0.3101, 0.6000)
Zr (0.7000, 0.6899, 0.4000)

As for the density of states at the Fermi level: 1.3777 states/eV per atom. The distance to the lowest polymorph of the same formula comes out at 0.0 meV per atom. The calculation puts the volume at 24.471 A^3/atom.